[1]
Crystalline Cs2NbSbI6 at its relaxed geometry, computed with PBE.

Values from the calculation:
formation energy (no corrections)	-632	meV/atom
symmetry	I4/mmm (139)

Unit cell a=8.9821 b=8.9821 c=8.9821 alpha=124.38 beta=124.38 gamma=82.58
Closest atoms and distances in Å follow each position.
Sites, in units of the cell vectors:
Cs1 0.2500 0.7500 0.5000  12 I 4.22-4.49
Cs2 0.7500 0.2500 0.5000  12 I 4.22-4.49
Nb1 0.0000 0.0000 0.0000  6 I 2.89
Sb1 0.5000 0.5000 0.0000  4 I 3.03
I1 0.2140 0.2140 0.0000  1 Nb 2.89
I2 0.2442 0.2442 0.4883  1 Nb 2.89, 1 Sb 3.03
I3 0.2442 0.7558 0.0000  1 Nb 2.89, 1 Sb 3.03
I4 0.7558 0.2442 0.0000  1 Nb 2.89, 1 Sb 3.03
I5 0.7558 0.7558 0.5117  1 Nb 2.89, 1 Sb 3.03
I6 0.7860 0.7860 0.0000  1 Nb 2.89

***

[2]
Crystalline La2MgHPt at its relaxed geometry, computed with PBE.

Values from the calculation:
offset from the most stable computed form	16.5	meV per atom
symmetry	P4/mmm (123)

Unit cell a=5.3266 b=5.3266 c=3.8840 alpha=90.00 beta=90.00 gamma=90.00
Closest atoms and distances in Å follow each position.
Sites, in units of the cell vectors:
La1 0.0000 0.5000 0.0000  2 H 2.66
La2 0.5000 0.0000 0.0000  2 H 2.66
Mg1 0.0000 0.0000 0.5000  8 La 3.30
H1 0.5000 0.5000 0.0000  2 Pt 1.94
Pt1 0.5000 0.5000 0.5000  2 H 1.94

***

[3]
Crystalline CsLiU2S4 at its relaxed geometry, computed with PBE.

Values from the calculation:
formation energy (no corrections)	-1352	meV/atom
symmetry	Cmcm (63)

Unit cell a=7.2127 b=7.2127 c=14.1844 alpha=90.00 beta=90.00 gamma=147.12
Closest atoms and distances in Å follow each position.
Sites, in units of the cell vectors:
Cs1 0.1036 0.8964 0.7500  6 S 3.38-3.50, 2 Li 3.68
Cs2 0.8964 0.1036 0.2500  6 S 3.38-3.50, 2 Li 3.68
Li1 0.1751 0.8249 0.2500  4 S 2.35-2.38
Li2 0.8249 0.1751 0.7500  4 S 2.35-2.38
U1 0.3686 0.6314 0.5567  6 S 2.73-2.85
U2 0.3686 0.6314 0.9433  6 S 2.73-2.85
U3 0.6314 0.3686 0.0567  6 S 2.73-2.85
U4 0.6314 0.3686 0.4433  6 S 2.73-2.85
S1 0.0000 0.0000 0.0000  4 U 2.85
S2 0.0000 0.0000 0.5000  4 U 2.85
S3 0.2573 0.7427 0.1024  1 Li 2.38
S4 0.2573 0.7427 0.3976  1 Li 2.38
S5 0.4086 0.5914 0.7500  2 Li 2.35
S6 0.5914 0.4086 0.2500  2 Li 2.35
S7 0.7427 0.2573 0.6024  1 Li 2.38
S8 0.7427 0.2573 0.8976  1 Li 2.38